Model 1:
Here is a relaxed structure of MgTl2Pb8 from the Alexandria database. Energies are from GGA-PBE.

Cell: 13.747 8.919 6.697 Å, 90.00 111.21 90.00°
Space group C2/m (No. 12)
One atom of each set of equivalent atoms:
Mg 0.000 0.000 0.000 (multiplicity 2)
Tl 0.235 0.500 0.616 (multiplicity 4)
Pb 0.004 0.500 0.741 (multiplicity 4)
Pb 0.130 0.000 0.724 (multiplicity 4)
Pb 0.158 0.287 0.097 (multiplicity 8)

Properties
* calculated volume: 765 Å³/cell

=====

Model 2:
Here is a relaxed structure of MgTl2Pb8 from the Alexandria database. Energies are from GGA-PBE.

Cell: 4.915 4.915 14.209 Å, 90.00 90.00 90.00°
Space group P4/mmm (No. 123)
One atom of each set of equivalent atoms:
Mg 0.000 0.000 0.000 (multiplicity 1)
Tl 0.000 0.000 0.322 (multiplicity 2)
Pb 0.000 0.500 0.137 (multiplicity 4)
Pb 0.000 0.500 0.500 (multiplicity 2)
Pb 0.500 0.500 0.313 (multiplicity 2)

Properties
* calculated volume: 343 Å³/cell

=====

Energies in meV/atom, measured from the most stable structure: model 1 111; model 2 0.

=====

Model 1:
Here is a relaxed structure of Mg3Tl6Pb from the Alexandria database. Energies are from GGA-PBE.

Cell: 9.890 5.066 12.381 Å, 90.00 111.06 90.00°
Space group P2_1/m (No. 11)
One atom of each set of equivalent atoms:
Mg 0.073 0.250 0.438 (multiplicity 2)
Mg 0.080 0.250 0.948 (multiplicity 2)
Mg 0.204 0.750 0.304 (multiplicity 2)
Tl 0.058 0.250 0.185 (multiplicity 2)
Tl 0.139 0.250 0.721 (multiplicity 2)
Tl 0.247 0.750 0.569 (multiplicity 2)
Tl 0.262 0.750 0.059 (multiplicity 2)
Tl 0.398 0.250 0.413 (multiplicity 2)
Tl 0.453 0.750 0.882 (multiplicity 2)
Pb 0.465 0.250 0.700 (multiplicity 2)

Properties
* calculated volume: 579 Å³/cell

=====

Model 2:
Here is a relaxed structure of Mg3Tl6Pb from the Alexandria database. Energies are from GGA-PBE.

Cell: 9.586 15.785 7.440 Å, 90.00 90.00 90.00°
Space group Cmc2_1 (No. 36)
One atom of each set of equivalent atoms:
Mg 0.000 0.115 0.000 (multiplicity 4)
Mg 0.167 0.375 0.458 (multiplicity 8)
Tl 0.000 0.233 0.683 (multiplicity 4)
Tl 0.000 0.466 0.782 (multiplicity 4)
Tl 0.178 0.035 0.652 (multiplicity 8)
Tl 0.197 0.178 0.328 (multiplicity 8)
Pb 0.000 0.323 0.103 (multiplicity 4)

Properties
* calculated volume: 1126 Å³/cell

=====

Energies in meV/atom, measured from the most stable structure: model 1 15; model 2 0.

=====

Model 1:
Here is a relaxed structure of Mg4Tl4Pb3 from the Alexandria database. Energies are from GGA-PBE.

Cell: 9.730 5.084 12.465 Å, 90.00 90.00 90.00°
Space group Amm2 (No. 38)
One atom of each set of equivalent atoms:
Mg 0.000 0.000 0.000 (multiplicity 2)
Mg 0.217 0.000 0.815 (multiplicity 4)
Mg 0.500 0.000 0.961 (multiplicity 2)
Tl 0.000 0.000 0.625 (multiplicity 2)
Tl 0.274 0.000 0.150 (multiplicity 4)
Tl 0.500 0.000 0.701 (multiplicity 2)
Pb 0.000 0.000 0.327 (multiplicity 2)
Pb 0.310 0.000 0.454 (multiplicity 4)

Properties
* calculated volume: 617 Å³/cell

=====

Model 2:
Here is a relaxed structure of Mg4Tl4Pb3 from the Alexandria database. Energies are from GGA-PBE.

Cell: 3.523 9.220 10.390 Å, 66.23 80.50 89.40°
Space group P-1 (No. 2)
One atom of each set of equivalent atoms:
Mg 0.008 0.306 0.480 (multiplicity 2)
Mg 0.244 0.793 0.019 (multiplicity 2)
Tl 0.139 0.972 0.224 (multiplicity 2)
Tl 0.181 0.369 0.153 (multiplicity 2)
Pb 0.390 0.392 0.709 (multiplicity 2)
Pb 0.500 0.000 0.500 (multiplicity 1)

Properties
* calculated volume: 304 Å³/cell

=====

Energies in meV/atom, measured from the most stable structure: model 1 17; model 2 0.

=====

Model 1:
Here is a relaxed structure of MgTl2Pb5 from the Alexandria database. Energies are from GGA-PBE.

Cell: 7.179 7.179 5.480 Å, 90.00 90.00 90.00°
Space group P4/mmm (No. 123)
One atom of each set of equivalent atoms:
Mg 0.000 0.000 0.000 (multiplicity 1)
Tl 0.000 0.500 0.500 (multiplicity 2)
Pb 0.000 0.000 0.500 (multiplicity 1)
Pb 0.284 0.284 0.000 (multiplicity 4)

Properties
* calculated volume: 282 Å³/cell

=====

Model 2:
Here is a relaxed structure of MgTl2Pb5 from the Alexandria database. Energies are from GGA-PBE.

Cell: 7.200 7.200 9.297 Å, 90.00 90.00 90.00°
Space group I4mm (No. 107)
One atom of each set of equivalent atoms:
Mg 0.000 0.000 0.000 (multiplicity 2)
Tl 0.000 0.500 0.001 (multiplicity 4)
Pb 0.000 0.000 0.501 (multiplicity 2)
Pb 0.250 0.250 0.251 (multiplicity 8)

Properties
* calculated volume: 482 Å³/cell

=====

Energies in meV/atom, measured from the most stable structure: model 1 202; model 2 0.

=====

Model 1:
Here is a relaxed structure of Mg7Tl2Pb2 from the Alexandria database. Energies are from GGA-PBE.

Cell: 7.002 10.521 8.007 Å, 90.00 90.00 90.00°
Space group Cmmm (No. 65)
One atom of each set of equivalent atoms:
Mg 0.000 0.000 0.000 (multiplicity 2)
Mg 0.000 0.500 0.203 (multiplicity 4)
Mg 0.250 0.250 0.300 (multiplicity 8)
Tl 0.000 0.269 0.000 (multiplicity 4)
Pb 0.229 0.000 0.500 (multiplicity 4)

Properties
* calculated volume: 590 Å³/cell

=====

Model 2:
Here is a relaxed structure of Mg7Tl2Pb2 from the Alexandria database. Energies are from GGA-PBE.

Cell: 7.333 9.005 8.967 Å, 90.00 107.17 90.00°
Space group C2/m (No. 12)
One atom of each set of equivalent atoms:
Mg 0.000 0.000 0.000 (multiplicity 2)
Mg 0.126 0.000 0.369 (multiplicity 4)
Mg 0.243 0.310 0.172 (multiplicity 8)
Tl 0.091 0.500 0.841 (multiplicity 4)
Pb 0.000 0.290 0.500 (multiplicity 4)

Properties
* calculated volume: 566 Å³/cell

=====

Energies in meV/atom, measured from the most stable structure: model 1 35; model 2 0.

=====

Model 1:
Here is a relaxed structure of Mg2TlPb6 from the Alexandria database. Energies are from GGA-PBE.

Cell: 3.448 9.229 17.141 Å, 90.00 90.00 90.00°
Space group Immm (No. 71)
One atom of each set of equivalent atoms:
Mg 0.000 0.000 0.152 (multiplicity 4)
Tl 0.000 0.500 0.000 (multiplicity 2)
Pb 0.000 0.180 0.323 (multiplicity 8)
Pb 0.000 0.327 0.500 (multiplicity 4)

Properties
* calculated volume: 545 Å³/cell

=====

Model 2:
Here is a relaxed structure of Mg2TlPb6 from the Alexandria database. Energies are from GGA-PBE.

Cell: 3.5801 3.5801 24.1059 Å, 90.00 90.00 120.00°
Space group P-6m2 (No. 187)
One atom of each set of equivalent atoms:
Mg 0.0000 0.0000 0.1656 (multiplicity 2)
Tl 0.6667 0.3333 0.5000 (multiplicity 1)
Pb 0.0000 0.0000 0.3811 (multiplicity 2)
Pb 0.6667 0.3333 0.0665 (multiplicity 2)
Pb 0.6667 0.3333 0.2657 (multiplicity 2)

Properties
* calculated volume: 268 Å³/cell

=====

Energies in meV/atom, measured from the most stable structure: model 1 11; model 2 0.

=====

Model 1:
Here is a relaxed structure of Mg4Tl3Pb2 from the Alexandria database. Energies are from GGA-PBE.

Cell: 7.566 9.064 7.070 Å, 90.00 97.64 90.00°
Space group P2_1/c (No. 14)
One atom of each set of equivalent atoms:
Mg 0.078 0.161 0.119 (multiplicity 4)
Mg 0.335 0.514 0.325 (multiplicity 4)
Tl 0.000 0.000 0.500 (multiplicity 2)
Tl 0.241 0.659 0.702 (multiplicity 4)
Pb 0.404 0.182 0.456 (multiplicity 4)

Properties
* calculated volume: 481 Å³/cell

=====

Model 2:
Here is a relaxed structure of Mg4Tl3Pb2 from the Alexandria database. Energies are from GGA-PBE.

Cell: 5.209 5.216 10.160 Å, 89.99 89.96 60.05°
Space group P-1 (No. 2)
One atom of each set of equivalent atoms:
Mg 0.000 0.001 0.329 (multiplicity 2)
Mg 0.334 0.333 0.898 (multiplicity 2)
Tl 0.000 0.000 0.000 (multiplicity 1)
Tl 0.333 0.333 0.571 (multiplicity 2)
Pb 0.333 0.334 0.215 (multiplicity 2)

Properties
* calculated volume: 239 Å³/cell

=====

Energies in meV/atom, measured from the most stable structure: model 1 22; model 2 0.

=====

Model 1:
Here is a relaxed structure of Mg7TlPb2 from the Alexandria database. Energies are from GGA-PBE.

Cell: 4.893 4.893 21.766 Å, 90.00 90.00 90.00°
Space group I4/mmm (No. 139)
One atom of each set of equivalent atoms:
Mg 0.000 0.000 0.000 (multiplicity 2)
Mg 0.000 0.500 0.088 (multiplicity 8)
Mg 0.000 0.500 0.250 (multiplicity 4)
Tl 0.000 0.000 0.500 (multiplicity 2)
Pb 0.000 0.000 0.170 (multiplicity 4)

Properties
* calculated volume: 521 Å³/cell

=====

Model 2:
Here is a relaxed structure of Mg7TlPb2 from the Alexandria database. Energies are from GGA-PBE.

Cell: 10.630 10.630 10.630 Å, 90.00 90.00 90.00°
Space group Fm-3m (No. 225)
One atom of each set of equivalent atoms:
Mg 0.000 0.000 0.000 (multiplicity 4)
Mg 0.000 0.000 0.249 (multiplicity 24)
Tl 0.000 0.000 0.500 (multiplicity 4)
Pb 0.250 0.250 0.250 (multiplicity 8)

Properties
* calculated volume: 1201 Å³/cell

=====

Energies in meV/atom, measured from the most stable structure: model 1 0; model 2 404.